i:
# Rb3Dy | Alexandria via LeMat-Bulk | PBE | optimized geometry
# ρ: 2.65 Mg/m³
# Calculated volume: 65.638 Å³/atom
data_Rb3Dy
_chemical_formula_sum 'Rb12 Dy4'
_space_group_name_H-M_alt 'F m -3 m'
_space_group_IT_number 225
_space_group_name_Hall '-F 4 2 3'
_cell_length_a 10.1647
_cell_length_b 10.1647
_cell_length_c 10.1647
_cell_angle_alpha 90.00
_cell_angle_beta 90.00
_cell_angle_gamma 90.00
loop_
_atom_site_label
_atom_site_type_symbol
_atom_site_fract_x
_atom_site_fract_y
_atom_site_fract_z
Rb1 Rb 0.0000 0.0000 0.0000
Rb2 Rb 0.2500 0.2500 0.2500
Dy1 Dy 0.0000 0.0000 0.5000

=====

ii:
# Rb3Dy | Alexandria via LeMat-Bulk | PBE | optimized geometry
# ρ: 2.67 Mg/m³
# Calculated volume: 65.241 Å³/atom
data_Rb3Dy
_chemical_formula_sum 'Rb6 Dy2'
_space_group_name_H-M_alt 'P 63/m m c'
_space_group_IT_number 194
_space_group_name_Hall '-P 6c 2c'
_cell_length_a 9.0264
_cell_length_b 9.0264
_cell_length_c 7.3969
_cell_angle_alpha 90.00
_cell_angle_beta 90.00
_cell_angle_gamma 120.00
loop_
_atom_site_label
_atom_site_type_symbol
_atom_site_fract_x
_atom_site_fract_y
_atom_site_fract_z
Rb1 Rb 0.1734 0.3467 0.2500
Dy1 Dy 0.3333 0.6667 0.7500

=====

In order of decreasing stability: ii, i.

=====

i:
# DyRe3Si3 | Alexandria via LeMat-Bulk | PBE | optimized geometry
# ρ: 11.38 Mg/m³
# Calculated volume: 16.795 Å³/atom
data_DyRe3Si3
_chemical_formula_sum 'Dy2 Re6 Si6'
_space_group_name_H-M_alt 'P 1 21/m 1'
_space_group_IT_number 11
_cell_length_a 7.8404
_cell_length_b 4.2547
_cell_length_c 7.9691
_cell_angle_alpha 90.00
_cell_angle_beta 117.81
_cell_angle_gamma 90.00
loop_
_space_group_symop_operation_xyz
'x,y,z'
'-x,-y,-z'
'-x,y+1/2,-z'
'x,-y+1/2,z'
loop_
_atom_site_label
_atom_site_type_symbol
_atom_site_fract_x
_atom_site_fract_y
_atom_site_fract_z
Dy1 Dy 0.2455 0.2500 0.3426
Re1 Re 0.2036 0.7500 0.9545
Re2 Re 0.2155 0.2500 0.7383
Re3 Re 0.4914 0.2500 0.1088
Si1 Si 0.0327 0.2500 0.9243
Si2 Si 0.1069 0.7500 0.5724
Si3 Si 0.4724 0.7500 0.2728

=====

ii:
# DyRe3Si3 | Alexandria via LeMat-Bulk | PBE | optimized geometry
# ρ: 9.28 Mg/m³
# Calculated volume: 20.591 Å³/atom
data_DyRe3Si3
_chemical_formula_sum 'Dy2 Re6 Si6'
_space_group_name_H-M_alt 'P m -3 n'
_space_group_IT_number 223
_space_group_name_Hall '-P 4n 2 3'
_cell_length_a 6.6059
_cell_length_b 6.6059
_cell_length_c 6.6059
_cell_angle_alpha 90.00
_cell_angle_beta 90.00
_cell_angle_gamma 90.00
loop_
_atom_site_label
_atom_site_type_symbol
_atom_site_fract_x
_atom_site_fract_y
_atom_site_fract_z
Dy1 Dy 0.0000 0.0000 0.0000
Re1 Re 0.0000 0.2500 0.5000
Si1 Si 0.0000 0.5000 0.2500

=====

In order of decreasing stability: i, ii.